Computed, not measured: a relaxed DyYTlHg crystal at the GGA-PBE level of DFT.

Results
The value obtained for the formation energy is -166 kJ/mol of formula units. For the energy, the calculation gives -15.45 eV for the cell shown. The symmetry is P4mm.

a b c (Å): 3.7665 3.7665 7.5156
angles (deg): 90.00 90.00 90.00
With the nearest neighbours (Å) after each atom.
Element x y z (fractional)
Dy (0.5000, 0.5000, 0.1158)  4 Hg 3.22, 4 Tl 3.30
Y (0.5000, 0.5000, 0.5988)  4 Hg 3.23, 4 Tl 3.30
Tl (0.0000, 0.0000, 0.8576)  4 Dy 3.30, 4 Y 3.30
Hg (0.0000, 0.0000, 0.3557)  4 Dy 3.22, 4 Y 3.23

***

Computed, not measured: a relaxed DyTlZnHg crystal at the GGA-PBE level of DFT.

Results
The value obtained for the formation energy is -69 kJ/mol of formula units. For the energy, the calculation gives -9.25 eV for the cell shown. The symmetry is F-43m.

a b c (Å): 5.1047 5.1047 5.1047
angles (deg): 60.00 60.00 60.00
With the nearest neighbours (Å) after each atom.
Element x y z (fractional)
Zn (0.7500, 0.7500, 0.7500)  4 Dy 3.13, 4 Tl 3.13
Tl (0.0000, 0.0000, 0.0000)  4 Zn 3.13, 4 Hg 3.13
Hg (0.2500, 0.2500, 0.2500)  4 Tl 3.13, 4 Dy 3.13
Dy (0.5000, 0.5000, 0.5000)  4 Hg 3.13, 4 Zn 3.13